No. 1
Rb2ZrSe3 | PBE | relaxed

For the volume, the calculation gives 37.9 A^3/atom. As for the symmetry: No. 65. Its total energy is -4.565 eV/atom. The size of the total moment is 0.00 μB/atom.

a = 9.7004 Å, b = 9.7004 Å, c = 5.9515 Å
α = 90.00°, β = 90.00°, γ = 156.07°
Closest atoms and distances in Å follow each position.
Sites, in units of the cell vectors:
Rb 0.1386 0.8614 0.0000  4 Se 3.08-3.31
Rb 0.8614 0.1386 0.0000  4 Se 3.08-3.31
Zr 0.5000 0.5000 0.5000  6 Se 2.71-2.98
Se 0.0958 0.9042 0.5000  2 Zr 2.71
Se 0.5000 0.5000 0.0000  2 Zr 2.98, 4 Rb 3.31
Se 0.9042 0.0958 0.5000  2 Zr 2.71

No. 2
LaTlHgSe3 | PBE | relaxed

For the volume, the calculation gives 30.8 A^3/atom. As for the symmetry: No. 62. The size of the total moment is 0.00 μB/atom. The energy above the most stable polymorph in this dataset comes out at 2.34 kJ per mole of atoms.

a = 14.3753 Å, b = 4.3940 Å, c = 11.7046 Å
α = 90.00°, β = 90.00°, γ = 90.00°
Closest atoms and distances in Å follow each position.
Sites, in units of the cell vectors:
La 0.0300 0.2500 0.1588  6 Se 2.96-3.14
La 0.4700 0.7500 0.6588  6 Se 2.96-3.14
La 0.5300 0.2500 0.3412  6 Se 2.96-3.14
La 0.9700 0.7500 0.8412  6 Se 2.96-3.14
Tl 0.2427 0.2500 0.4557  4 Se 3.20-3.55
Tl 0.2573 0.7500 0.9557  4 Se 3.20-3.55
Tl 0.7427 0.2500 0.0443  4 Se 3.20-3.55
Tl 0.7573 0.7500 0.5443  4 Se 3.20-3.55
Hg 0.0205 0.7500 0.3935  4 Se 2.67-2.84
Hg 0.4795 0.2500 0.8935  4 Se 2.67-2.84
Hg 0.5205 0.7500 0.1065  4 Se 2.67-2.84
Hg 0.9795 0.2500 0.6065  4 Se 2.67-2.84
Se 0.0931 0.7500 0.6192  3 Hg 2.74-2.84
Se 0.0979 0.2500 0.9203  3 La 2.96-3.01, 2 Tl 3.20
Se 0.1586 0.7500 0.2413  1 Hg 2.67
Se 0.3414 0.2500 0.7413  1 Hg 2.67
Se 0.4021 0.7500 0.4203  3 La 2.96-3.01, 2 Tl 3.20
Se 0.4069 0.2500 0.1192  3 Hg 2.74-2.84
Se 0.5931 0.7500 0.8808  3 Hg 2.74-2.84
Se 0.5979 0.2500 0.5797  3 La 2.96-3.01, 2 Tl 3.20
Se 0.6586 0.7500 0.2587  1 Hg 2.67
Se 0.8414 0.2500 0.7587  1 Hg 2.67
Se 0.9021 0.7500 0.0797  3 La 2.96-3.01, 2 Tl 3.20
Se 0.9069 0.2500 0.3808  3 Hg 2.74-2.84

No. 3
LaSbPd2Pb | PBE | relaxed

For the volume, the calculation gives 23.6 A^3/atom. As for the symmetry: No. 129. Its total energy is -5.399 eV/atom. The size of the total moment is 0.00 μB/atom.

a = 4.5983 Å, b = 4.5983 Å, c = 11.1715 Å
α = 90.00°, β = 90.00°, γ = 90.00°
Closest atoms and distances in Å follow each position.
Sites, in units of the cell vectors:
La 0.2500 0.2500 0.2311  8 Pd 3.46-3.53, 4 Sb 3.46, 4 Pb 3.78
La 0.7500 0.7500 0.7689  8 Pd 3.46-3.53, 4 Sb 3.46, 4 Pb 3.78
Sb 0.2500 0.2500 0.8743  5 Pd 2.56-2.69
Sb 0.7500 0.7500 0.1257  5 Pd 2.56-2.69
Pd 0.2500 0.2500 0.6456  1 Sb 2.56, 4 Pb 2.82
Pd 0.2500 0.7500 0.0000  4 Sb 2.69
Pd 0.7500 0.2500 0.0000  4 Sb 2.69
Pd 0.7500 0.7500 0.3544  1 Sb 2.56, 4 Pb 2.82
Pb 0.2500 0.7500 0.5000  4 Pd 2.82
Pb 0.7500 0.2500 0.5000  4 Pd 2.82

No. 4
HoReIr | PBE | relaxed

As for the energy of formation from the pure elements: 3.7 eV/f.u. For the volume, the calculation gives 21.6 A^3/atom. As for the symmetry: No. 216. The size of the total moment is 0.90 μB/atom.

a = 4.5109 Å, b = 4.5109 Å, c = 4.5109 Å
α = 60.00°, β = 60.00°, γ = 60.00°
Closest atoms and distances in Å follow each position.
Sites, in units of the cell vectors:
Ho 0.0000 0.0000 0.0000  4 Ir 2.76, 4 Re 2.76
Re 0.2500 0.2500 0.2500  4 Ho 2.76
Ir 0.7500 0.7500 0.7500  4 Ho 2.76

No. 5
Be2NbCu | PBE | relaxed

For the volume, the calculation gives 12.0 A^3/atom. As for the symmetry: No. 216. Its total energy is -5.166 eV/atom. The size of the total moment is 0.00 μB/atom.

a = 4.0803 Å, b = 4.0803 Å, c = 4.0803 Å
α = 60.00°, β = 60.00°, γ = 60.00°
Closest atoms and distances in Å follow each position.
Sites, in units of the cell vectors:
Be 0.0000 0.0000 0.0000  4 Nb 2.50, 4 Be 2.50
Be 0.2500 0.2500 0.2500  4 Be 2.50, 4 Cu 2.50
Nb 0.7500 0.7500 0.7500  4 Be 2.50, 4 Cu 2.50
Cu 0.5000 0.5000 0.5000  4 Nb 2.50, 4 Be 2.50

No. 6
UTaAl | PBE | relaxed

For the volume, the calculation gives 22.8 A^3/atom. As for the symmetry: No. 216. The size of the total moment is 0.00 μB/atom. The energy above the most stable polymorph in this dataset comes out at 46.82 kJ per mole of atoms.

a = 4.5880 Å, b = 4.5880 Å, c = 4.5880 Å
α = 60.00°, β = 60.00°, γ = 60.00°
Closest atoms and distances in Å follow each position.
Sites, in units of the cell vectors:
U 0.0000 0.0000 0.0000  4 Al 2.81, 4 Ta 2.81
Ta 0.2500 0.2500 0.2500  4 U 2.81
Al 0.7500 0.7500 0.7500  4 U 2.81

No. 7
NaSr3TaO6 | PBE | relaxed

For the volume, the calculation gives 14.5 A^3/atom. As for the symmetry: No. 167. Its total energy is -7.143 eV/atom. The size of the total moment is 0.00 μB/atom.

a = 6.8336 Å, b = 6.8336 Å, c = 6.8336 Å
α = 91.20°, β = 91.20°, γ = 91.20°
Closest atoms and distances in Å follow each position.
Sites, in units of the cell vectors:
Na 0.2500 0.2500 0.2500  6 O 2.40
Na 0.7500 0.7500 0.7500  6 O 2.40
Sr 0.1011 0.7500 0.3989  6 O 2.51-2.62
Sr 0.2500 0.6011 0.8989  6 O 2.51-2.62
Sr 0.3989 0.1011 0.7500  6 O 2.51-2.62
Sr 0.6011 0.8989 0.2500  6 O 2.51-2.62
Sr 0.7500 0.3989 0.1011  6 O 2.51-2.62
Sr 0.8989 0.2500 0.6011  6 O 2.51-2.62
Ta 0.0000 0.0000 0.0000  6 O 2.01
Ta 0.5000 0.5000 0.5000  6 O 2.01
O 0.0549 0.9255 0.7200  1 Ta 2.01
O 0.0745 0.2800 0.9451  1 Ta 2.01
O 0.2200 0.4255 0.5549  1 Ta 2.01
O 0.2800 0.9451 0.0745  1 Ta 2.01
O 0.4255 0.5549 0.2200  1 Ta 2.01
O 0.4451 0.7800 0.5745  1 Ta 2.01
O 0.5549 0.2200 0.4255  1 Ta 2.01
O 0.5745 0.4451 0.7800  1 Ta 2.01
O 0.7200 0.0549 0.9255  1 Ta 2.01
O 0.7800 0.5745 0.4451  1 Ta 2.01
O 0.9255 0.7200 0.0549  1 Ta 2.01
O 0.9451 0.0745 0.2800  1 Ta 2.01

No. 8
HfAg | PBE | relaxed

As for the energy of formation from the pure elements: -0.2 eV/f.u. For the volume, the calculation gives 19.5 A^3/atom. As for the symmetry: No. 129. The size of the total moment is 0.00 μB/atom.

a = 3.4413 Å, b = 3.4413 Å, c = 6.5737 Å
α = 90.00°, β = 90.00°, γ = 90.00°
Closest atoms and distances in Å follow each position.
Sites, in units of the cell vectors:
Hf 0.2500 0.2500 0.1399  5 Ag 2.91-3.14, 4 Hf 3.05
Hf 0.7500 0.7500 0.8601  5 Ag 2.91-3.14, 4 Hf 3.05
Ag 0.2500 0.2500 0.6169  4 Ag 2.88, 5 Hf 2.91-3.14
Ag 0.7500 0.7500 0.3831  4 Ag 2.88, 5 Hf 2.91-3.14